Record 1
# Na2Al2Ag5Sn

A relaxed Na2Al2Ag5Sn crystal (PBE-GGA, Alexandria via LeMat-Bulk).

Values from the calculation:
**VASP energy**: -0.1047 Ha/atom
**Size of the total moment**: 0.000 μB/f.u.
**Calculated formation energy**: -11 meV/atom

Cell lengths 11.0108, 11.0108, 3.4949 Å; angles 90.00, 90.00, 90.00 degrees
Space group P4/mbm (No. 127)
Inequivalent atoms, fractional coordinates:
Na (0.1731, 0.3269, 0.0000)
Al (0.1275, 0.6275, 0.0000)
Ag (0.0000, 0.5000, 0.5000)
Ag (0.0626, 0.7956, 0.5000)
Sn (0.0000, 0.0000, 0.0000)


Record 2
# NaAl2AgSn

A relaxed NaAl2AgSn crystal (PBE-GGA, Alexandria via LeMat-Bulk).

Values from the calculation:
**VASP energy**: -0.1021 Ha/atom
**Size of the total moment**: 0.000 μB/f.u.
**Calculated formation energy**: 353 meV/atom

Cell lengths 4.9125, 4.9125, 5.6628 Å; angles 90.00, 90.00, 90.00 degrees
Space group P4/mmm (No. 123)
Inequivalent atoms, fractional coordinates:
Na (0.0000, 0.0000, 0.0000)
Al (0.0000, 0.5000, 0.5000)
Ag (0.5000, 0.5000, 0.5000)
Sn (0.5000, 0.5000, 0.0000)


Record 3
# NaAlAgTe3

A relaxed NaAlAgTe3 crystal (PBE-GGA, Alexandria via LeMat-Bulk).

Values from the calculation:
**VASP energy**: -0.1193 Ha/atom
**Size of the total moment**: 0.000 μB/f.u.
**Formation energy from raw total energies**: -357 meV per atom

Cell lengths 8.7276, 4.0497, 11.2987 Å; angles 90.00, 104.61, 90.00 degrees
Space group P2_1/m (No. 11)
Inequivalent atoms, fractional coordinates:
Na (0.1854, 0.2500, 0.1520)
Al (0.0885, 0.2500, 0.6196)
Ag (0.3661, 0.7500, 0.9195)
Te (0.1041, 0.2500, 0.8511)
Te (0.2147, 0.7500, 0.5215)
Te (0.4706, 0.7500, 0.1844)


Record 4
# NaAl2AgTe4

A relaxed NaAl2AgTe4 crystal (PBE-GGA, Alexandria via LeMat-Bulk).

Values from the calculation:
**VASP energy**: -0.1284 Ha/atom
**Size of the total moment**: 0.000 μB/f.u.
**Formation energy from raw total energies**: -467 meV per atom

Cell lengths 6.1234, 6.1234, 14.0882 Å; angles 90.00, 90.00, 90.00 degrees
Space group I-42m (No. 121)
Inequivalent atoms, fractional coordinates:
Na (0.0000, 0.0000, 0.0000)
Al (0.0000, 0.5000, 0.2500)
Ag (0.0000, 0.0000, 0.5000)
Te (0.2402, 0.2402, 0.3609)


Record 5
# NaTiAl2Ag

A relaxed NaTiAl2Ag crystal (PBE-GGA, Alexandria via LeMat-Bulk).

Values from the calculation:
**VASP energy**: -0.1199 Ha/atom
**Size of the total moment**: 0.894 μB/f.u.
**Calculated formation energy**: 647 meV/atom

Cell lengths 5.1182, 5.1182, 5.0508 Å; angles 90.00, 90.00, 90.00 degrees
Space group P4/mmm (No. 123)
Inequivalent atoms, fractional coordinates:
Na (0.0000, 0.0000, 0.0000)
Ti (0.5000, 0.5000, 0.5000)
Al (0.0000, 0.5000, 0.5000)
Ag (0.5000, 0.5000, 0.0000)


Record 6
# NaAlTlAg

A relaxed NaAlTlAg crystal (PBE-GGA, Alexandria via LeMat-Bulk).

Values from the calculation:
**VASP energy**: -0.0919 Ha/atom
**Size of the total moment**: 0.000 μB/f.u.
**Calculated formation energy**: 70 meV/atom

Cell lengths 7.0167, 7.0167, 7.0167 Å; angles 90.00, 90.00, 90.00 degrees
Space group F-43m (No. 216)
Inequivalent atoms, fractional coordinates:
Na (0.0000, 0.0000, 0.0000)
Al (0.0000, 0.0000, 0.5000)
Tl (0.2500, 0.2500, 0.2500)
Ag (0.2500, 0.2500, 0.7500)


Record 7
# Na2Al3Zn12Ag

A relaxed Na2Al3Zn12Ag crystal (PBE-GGA, Alexandria via LeMat-Bulk).

Values from the calculation:
**VASP energy**: -0.0612 Ha/atom
**Size of the total moment**: 0.000 μB/f.u.
**Calculated formation energy**: 112 meV/atom

Cell lengths 6.4429, 6.4429, 29.4371 Å; angles 90.00, 90.00, 120.00 degrees
Space group R-3m (No. 166, hexagonal axes)
Inequivalent atoms, fractional coordinates:
Na (0.0000, 0.0000, 0.1499)
Al (0.0000, 0.5000, 0.0000)
Zn (0.0408, 0.5204, 0.0967)
Zn (0.0727, 0.5363, 0.6145)
Ag (0.0000, 0.0000, 0.5000)


Record 8
# Na2AlZn5Ag2

A relaxed Na2AlZn5Ag2 crystal (PBE-GGA, Alexandria via LeMat-Bulk).

Values from the calculation:
**VASP energy**: -0.0666 Ha/atom
**Size of the total moment**: 0.000 μB/f.u.
**Calculated formation energy**: 34 meV/atom

Cell lengths 10.5912, 10.5912, 3.4399 Å; angles 90.00, 90.00, 90.00 degrees
Space group P4/mbm (No. 127)
Inequivalent atoms, fractional coordinates:
Na (0.1734, 0.3266, 0.0000)
Al (0.0000, 0.0000, 0.0000)
Zn (0.0000, 0.5000, 0.5000)
Zn (0.0578, 0.8145, 0.5000)
Ag (0.1311, 0.6311, 0.0000)


Record 9
# NaAlZnAg3

A relaxed NaAlZnAg3 crystal (PBE-GGA, Alexandria via LeMat-Bulk).

Values from the calculation:
**VASP energy**: -0.0887 Ha/atom
**Size of the total moment**: 0.000 μB/f.u.
**Calculated formation energy**: 68 meV/atom

Cell lengths 7.0243, 12.8709, 5.5508 Å; angles 90.00, 90.00, 90.00 degrees
Space group Cmcm (No. 63)
Inequivalent atoms, fractional coordinates:
Na (0.0000, 0.2025, 0.2500)
Al (0.0000, 0.4316, 0.2500)
Zn (0.0000, 0.1501, 0.7500)
Ag (0.0000, 0.3544, 0.7500)
Ag (0.2012, 0.0000, 0.0000)


Record 10
# Na2Al2ZnAg5

A relaxed Na2Al2ZnAg5 crystal (PBE-GGA, Alexandria via LeMat-Bulk).

Values from the calculation:
**VASP energy**: -0.0967 Ha/atom
**Size of the total moment**: 0.000 μB/f.u.
**Calculated formation energy**: -67 meV/atom

Cell lengths 11.4752, 11.4752, 2.9714 Å; angles 90.00, 90.00, 90.00 degrees
Space group P4/mbm (No. 127)
Inequivalent atoms, fractional coordinates:
Na (0.1713, 0.3287, 0.0000)
Al (0.1353, 0.6353, 0.0000)
Zn (0.0000, 0.0000, 0.0000)
Ag (0.0000, 0.5000, 0.5000)
Ag (0.0641, 0.8148, 0.5000)


Record 11
# NaAlZn3Ag

A relaxed NaAlZn3Ag crystal (PBE-GGA, Alexandria via LeMat-Bulk).

Values from the calculation:
**VASP energy**: -0.0683 Ha/atom
**Size of the total moment**: 0.000 μB/f.u.
**Calculated formation energy**: 98 meV/atom

Cell lengths 6.5317, 13.2352, 5.4691 Å; angles 90.00, 90.00, 90.00 degrees
Space group Cmcm (No. 63)
Inequivalent atoms, fractional coordinates:
Na (0.0000, 0.2100, 0.2500)
Al (0.0000, 0.4333, 0.2500)
Zn (0.0000, 0.3572, 0.7500)
Zn (0.1921, 0.0000, 0.0000)
Ag (0.0000, 0.1570, 0.7500)


Record 12
# NaAlZnAg

A relaxed NaAlZnAg crystal (PBE-GGA, Alexandria via LeMat-Bulk).

Values from the calculation:
**VASP energy**: -0.0830 Ha/atom
**Size of the total moment**: 0.000 μB/f.u.
**Calculated formation energy**: 38 meV/atom

Cell lengths 6.6274, 6.6274, 6.6274 Å; angles 90.00, 90.00, 90.00 degrees
Space group F-43m (No. 216)
Inequivalent atoms, fractional coordinates:
Na (0.0000, 0.0000, 0.0000)
Al (0.0000, 0.0000, 0.5000)
Zn (0.2500, 0.2500, 0.7500)
Ag (0.2500, 0.2500, 0.2500)


Record 13
# NbAlAg

A relaxed NbAlAg crystal (PBE-GGA, Alexandria via LeMat-Bulk).

Values from the calculation:
**VASP energy**: -0.2008 Ha/atom
**Polymorph energy (0 for the lowest one)**: 183.6 meV/atom
**Size of the total moment**: 0.000 μB/f.u.
**Calculated formation energy**: 89 meV/atom

Cell lengths 5.2200, 7.7084, 10.7191 Å; angles 90.00, 90.00, 90.00 degrees
Space group Fmmm (No. 69)
Inequivalent atoms, fractional coordinates:
Nb (0.0000, 0.1725, 0.0000)
Al (0.0000, 0.0000, 0.3799)
Ag (0.2500, 0.2500, 0.2500)


Record 14
# Nb2Al2Ag

A relaxed Nb2Al2Ag crystal (PBE-GGA, Alexandria via LeMat-Bulk).

Values from the calculation:
**VASP energy**: -0.2260 Ha/atom
**Size of the total moment**: 0.000 μB/f.u.
**Calculated formation energy**: -54 meV/atom

Cell lengths 6.7540, 6.7540, 3.7556 Å; angles 90.00, 90.00, 90.00 degrees
Space group P4/mbm (No. 127)
Inequivalent atoms, fractional coordinates:
Nb (0.1719, 0.3281, 0.0000)
Al (0.1298, 0.6298, 0.5000)
Ag (0.0000, 0.0000, 0.5000)


Record 15
# NbAl2Ag2

A relaxed NbAl2Ag2 crystal (PBE-GGA, Alexandria via LeMat-Bulk).

Values from the calculation:
**VASP energy**: -0.1690 Ha/atom
**Polymorph energy (0 for the lowest one)**: 18.2 meV/atom
**Size of the total moment**: 0.000 μB/f.u.
**Calculated formation energy**: 53 meV/atom

Cell lengths 7.7491, 7.7491, 2.8330 Å; angles 90.00, 90.00, 90.00 degrees
Space group P4/mbm (No. 127)
Inequivalent atoms, fractional coordinates:
Nb (0.0000, 0.0000, 0.0000)
Al (0.1748, 0.3252, 0.5000)
Ag (0.1262, 0.6262, 0.0000)


Record 16
# NbAl3Ag

A relaxed NbAl3Ag crystal (PBE-GGA, Alexandria via LeMat-Bulk).

Values from the calculation:
**VASP energy**: -0.1458 Ha/atom
**Polymorph energy (0 for the lowest one)**: 0.0 meV/atom
**Size of the total moment**: 0.000 μB/f.u.
**Calculated formation energy**: 863 meV/atom

Cell lengths 4.9957, 4.9957, 4.9957 Å; angles 90.00, 90.00, 90.00 degrees
Space group Pm-3m (No. 221)
Inequivalent atoms, fractional coordinates:
Nb (0.0000, 0.0000, 0.0000)
Al (0.0000, 0.0000, 0.5000)
Ag (0.5000, 0.5000, 0.5000)


Record 17
# NbAl2Ag

A relaxed NbAl2Ag crystal (PBE-GGA, Alexandria via LeMat-Bulk).

Values from the calculation:
**VASP energy**: -0.1787 Ha/atom
**Polymorph energy (0 for the lowest one)**: 478.8 meV/atom
**Size of the total moment**: 0.000 μB/f.u.
**Calculated formation energy**: 240 meV/atom

Cell lengths 7.1104, 7.1104, 5.7604 Å; angles 90.00, 90.00, 90.00 degrees
Space group I-42d (No. 122)
Inequivalent atoms, fractional coordinates:
Nb (0.0000, 0.0000, 0.0000)
Al (0.2292, 0.2500, 0.6250)
Ag (0.0000, 0.0000, 0.5000)


Record 18
# NbAl2Ag

A relaxed NbAl2Ag crystal (PBE-GGA, Alexandria via LeMat-Bulk).

Values from the calculation:
**VASP energy**: -0.1963 Ha/atom
**Polymorph energy (0 for the lowest one)**: 0.0 meV/atom
**Size of the total moment**: 0.000 μB/f.u.
**Calculated formation energy**: -239 meV/atom

Cell lengths 4.1620, 4.1620, 3.8086 Å; angles 90.00, 90.00, 90.00 degrees
Space group P4/mmm (No. 123)
Inequivalent atoms, fractional coordinates:
Nb (0.0000, 0.0000, 0.0000)
Al (0.0000, 0.5000, 0.5000)
Ag (0.5000, 0.5000, 0.0000)


Record 19
# Nb3AlAg

A relaxed Nb3AlAg crystal (PBE-GGA, Alexandria via LeMat-Bulk).

Values from the calculation:
**VASP energy**: -0.2271 Ha/atom
**Polymorph energy (0 for the lowest one)**: 0.0 meV/atom
**Size of the total moment**: 0.000 μB/f.u.
**Calculated formation energy**: 1180 meV/atom

Cell lengths 4.7247, 4.7247, 4.7247 Å; angles 90.00, 90.00, 90.00 degrees
Space group Pm-3m (No. 221)
Inequivalent atoms, fractional coordinates:
Nb (0.0000, 0.0000, 0.5000)
Al (0.0000, 0.0000, 0.0000)
Ag (0.5000, 0.5000, 0.5000)


Record 20
# NbAl2Ag2

A relaxed NbAl2Ag2 crystal (PBE-GGA, Alexandria via LeMat-Bulk).

Values from the calculation:
**VASP energy**: -0.1697 Ha/atom
**Polymorph energy (0 for the lowest one)**: 0.0 meV/atom
**Size of the total moment**: 0.000 μB/f.u.
**Calculated formation energy**: 35 meV/atom

Cell lengths 7.6176, 7.6176, 2.9133 Å; angles 90.00, 90.00, 90.00 degrees
Space group P4/mbm (No. 127)
Inequivalent atoms, fractional coordinates:
Nb (0.0000, 0.0000, 0.0000)
Al (0.1513, 0.3487, 0.0000)
Ag (0.1477, 0.6477, 0.5000)